Computed, not measured: a geometry-optimized Si2Ni structure at the GGA-PBE level of DFT.

Lattice parameters (Å, degrees): 4.2739 4.2739 2.4867 90.00 90.00 120.00
Space group P6/mmm (No. 191)
Symmetry-distinct sites (fractional):
Si 0.3333 0.6667 0.0000 x2
Ni 0.0000 0.0000 0.5000 x1

Results
The electronic total energy comes out at -15.900 eV per cell. Its density of states at the Fermi level is 1.17 states/eV per atom. As for the uncorrected formation energy: 0.24 eV per atom.



Computed, not measured: a geometry-optimized Si2Ni3 structure at the GGA-PBE level of DFT.

Lattice parameters (Å, degrees): 3.8438 3.8438 4.7565 90.00 90.00 120.00
Space group P-3m1 (No. 164)
Symmetry-distinct sites (fractional):
Si 0.3333 0.6667 0.3143 x2
Ni 0.0000 0.0000 0.5000 x1
Ni 0.3333 0.6667 0.8274 x2

Results
The electronic total energy comes out at -30.172 eV per cell. Its density of states at the Fermi level is 0.99 states/eV per atom. As for the uncorrected formation energy: -0.40 eV per atom.



Computed, not measured: a geometry-optimized SiNi4 structure at the GGA-PBE level of DFT.

Lattice parameters (Å, degrees): 4.138 4.138 4.138 90.00 90.00 90.00
Space group Pm-3m (No. 221)
Symmetry-distinct sites (fractional):
Si 0.000 0.000 0.000 x1
Ni 0.000 0.000 0.500 x3
Ni 0.500 0.500 0.500 x1

Results
The electronic total energy comes out at -25.556 eV per cell. Its energy relative to the lowest polymorph listed for this composition is 0.9225 eV per atom. Its density of states at the Fermi level is 1.68 states/eV per atom. As for the uncorrected formation energy: 0.60 eV per atom.



Computed, not measured: a geometry-optimized Si2Ni structure at the GGA-PBE level of DFT.

Lattice parameters (Å, degrees): 9.265 2.657 6.470 90.00 104.75 90.00
Space group C2/m (No. 12)
Symmetry-distinct sites (fractional):
Si 0.131 0.000 0.483 x4
Si 0.155 0.000 0.098 x4
Ni 0.064 0.500 0.780 x4

Results
The electronic total energy comes out at -66.736 eV per cell. Its density of states at the Fermi level is 0.20 states/eV per atom. As for the uncorrected formation energy: -0.02 eV per atom.



Computed, not measured: a geometry-optimized SiNi5 structure at the GGA-PBE level of DFT.

Lattice parameters (Å, degrees): 3.558 10.318 3.527 90.00 90.00 90.00
Space group Cmmm (No. 65)
Symmetry-distinct sites (fractional):
Si 0.000 0.000 0.000 x2
Ni 0.000 0.165 0.500 x4
Ni 0.000 0.337 0.000 x4
Ni 0.000 0.500 0.500 x2

Results
The electronic total energy comes out at -72.032 eV per cell. Its density of states at the Fermi level is 1.29 states/eV per atom. As for the uncorrected formation energy: -0.28 eV per atom.



Computed, not measured: a geometry-optimized Si3Ni5 structure at the GGA-PBE level of DFT.

Lattice parameters (Å, degrees): 8.408 7.165 6.053 90.00 90.00 90.00
Space group Pnma (No. 62)
Symmetry-distinct sites (fractional):
Si 0.030 0.250 0.079 x4
Si 0.186 0.519 0.459 x8
Ni 0.015 0.250 0.470 x4
Ni 0.060 0.039 0.800 x8
Ni 0.191 0.750 0.176 x4
Ni 0.229 0.750 0.760 x4

Results
The electronic total energy comes out at -196.332 eV per cell. Its energy relative to the lowest polymorph listed for this composition is 0.0048 eV per atom. Its density of states at the Fermi level is 0.44 states/eV per atom. As for the uncorrected formation energy: -0.49 eV per atom.